# 1
TcOF: relaxed, GGA-PBE. Values from VASP.

ρ = 6.18 g/cm³
N(E_F) = 0.73 states/eV/atom
raw total energy = -7.118 eV/atom

The structure in Quantum ESPRESSO input format:
```
&SYSTEM
  ibrav = 0, nat = 12, ntyp = 3
/
ATOMIC_SPECIES
O 16.00 O.upf
F 19.00 F.upf
Tc 98.00 Tc.upf
CELL_PARAMETERS angstrom
-3.3742 1.8788 3.3700
0.5454 -4.7898 3.2165
3.2921 4.7232 0.6630
ATOMIC_POSITIONS crystal
O 0.2136 0.3879 0.8621
O 0.2136 0.8879 0.3621
O 0.7136 0.1121 0.6379
O 0.7136 0.6121 0.1379
F 0.7827 0.6081 0.6419
F 0.7827 0.1081 0.1419
F 0.2827 0.8919 0.8581
F 0.2827 0.3919 0.3581
Tc 0.0056 0.2326 0.5174
Tc 0.5056 0.7674 0.4826
Tc 0.5056 0.2674 0.9826
Tc 0.0056 0.7326 0.0174
```



# 2
TcOF2: relaxed, GGA-PBE. Values from VASP.

ρ = 6.14 g/cm³
N(E_F) = 0.43 states/eV/atom
raw total energy = -5.009 eV/atom
excess energy over the best structure of this formula in the dataset = 1528.1 meV/atom

The structure in Quantum ESPRESSO input format:
```
&SYSTEM
  ibrav = 0, nat = 4, ntyp = 3
/
ATOMIC_SPECIES
Tc 98.00 Tc.upf
O 16.00 O.upf
F 19.00 F.upf
CELL_PARAMETERS angstrom
2.1577 -2.5423 1.9713
-0.9770 -3.7481 0.0416
2.1662 -2.5874 -1.9020
ATOMIC_POSITIONS crystal
Tc 0.5000 0.5000 0.5000
O 0.0000 0.0000 0.0000
F 0.2500 0.2500 0.2500
F 0.7500 0.7500 0.7500
```



# 3
TiTcOF2: relaxed, GGA-PBE. Values from VASP.

ρ = 5.01 g/cm³
N(E_F) = 0.80 states/eV/atom
raw total energy = -6.821 eV/atom
excess energy over the best structure of this formula in the dataset = 0.0 meV/atom

The structure in Quantum ESPRESSO input format:
```
&SYSTEM
  ibrav = 0, nat = 5, ntyp = 4
/
ATOMIC_SPECIES
F 19.00 F.upf
Tc 98.00 Tc.upf
O 16.00 O.upf
Ti 47.87 Ti.upf
CELL_PARAMETERS angstrom
4.1462 0.0000 0.0000
0.0000 4.1462 0.0000
0.0000 0.0000 3.8551
ATOMIC_POSITIONS crystal
F 0.0000 0.5000 0.0000
F 0.5000 0.0000 0.0000
Tc 0.5000 0.5000 0.5000
O 0.0000 0.0000 0.5000
Ti 0.0000 0.0000 0.0000
```



# 4
TiTcOF2: relaxed, GGA-PBE. Values from VASP.

ρ = 4.70 g/cm³
N(E_F) = 1.46 states/eV/atom
raw total energy = -6.162 eV/atom
excess energy over the best structure of this formula in the dataset = 659.0 meV/atom

The structure in Quantum ESPRESSO input format:
```
&SYSTEM
  ibrav = 0, nat = 5, ntyp = 4
/
ATOMIC_SPECIES
F 19.00 F.upf
Tc 98.00 Tc.upf
O 16.00 O.upf
Ti 47.87 Ti.upf
CELL_PARAMETERS angstrom
-2.5973 -3.4523 0.4107
2.8259 -1.7977 2.7596
-1.7507 1.6589 2.8734
ATOMIC_POSITIONS crystal
F 0.0000 0.5000 0.0000
F 0.5000 0.0000 0.0000
Tc 0.0000 0.0000 0.0000
O 0.0000 0.0000 0.5000
Ti 0.5000 0.5000 0.5000
```



# 5
TlTcO2F: relaxed, GGA-PBE. Values from VASP.

ρ = 7.19 g/cm³
N(E_F) = 0.02 states/eV/atom
raw total energy = -4.862 eV/atom

The structure in Quantum ESPRESSO input format:
```
&SYSTEM
  ibrav = 0, nat = 5, ntyp = 4
/
ATOMIC_SPECIES
Tl 204.38 Tl.upf
Tc 98.00 Tc.upf
O 16.00 O.upf
F 19.00 F.upf
CELL_PARAMETERS angstrom
4.3127 0.0000 0.0000
0.0000 4.3127 0.0000
0.0000 0.0000 4.3857
ATOMIC_POSITIONS crystal
Tl 0.0000 0.0000 0.0000
Tc 0.5000 0.5000 0.5000
O 0.0000 0.5000 0.0000
O 0.5000 0.0000 0.0000
F 0.0000 0.0000 0.5000
```



# 6
TlTcOF2: relaxed, GGA-PBE. Values from VASP.

ρ = 7.97 g/cm³
N(E_F) = 0.41 states/eV/atom
raw total energy = -5.661 eV/atom
excess energy over the best structure of this formula in the dataset = 0.0 meV/atom

The structure in Quantum ESPRESSO input format:
```
&SYSTEM
  ibrav = 0, nat = 5, ntyp = 4
/
ATOMIC_SPECIES
Tl 204.38 Tl.upf
Tc 98.00 Tc.upf
O 16.00 O.upf
F 19.00 F.upf
CELL_PARAMETERS angstrom
4.4075 0.0000 0.0000
0.0000 4.4075 0.0000
0.0000 0.0000 3.8233
ATOMIC_POSITIONS crystal
Tl 0.5000 0.5000 0.5000
Tc 0.0000 0.0000 0.0000
O 0.0000 0.0000 0.5000
F 0.0000 0.5000 0.0000
F 0.5000 0.0000 0.0000
```



# 7
TlTc2O6F2: relaxed, GGA-PBE. Values from VASP.

ρ = 3.78 g/cm³
N(E_F) = 0.57 states/eV/atom
raw total energy = -6.543 eV/atom

The structure in Quantum ESPRESSO input format:
```
&SYSTEM
  ibrav = 0, nat = 11, ntyp = 4
/
ATOMIC_SPECIES
Tl 204.38 Tl.upf
Tc 98.00 Tc.upf
O 16.00 O.upf
F 19.00 F.upf
CELL_PARAMETERS angstrom
7.3092 0.0000 0.0000
-3.6546 6.3300 0.0000
0.0000 0.0000 5.0751
ATOMIC_POSITIONS crystal
Tl 0.0000 0.0000 0.0000
Tc 0.3333 0.6667 0.9463
Tc 0.6667 0.3333 0.0537
O 0.2862 0.4222 0.8375
O 0.1360 0.7138 0.8375
O 0.5778 0.8640 0.8375
O 0.7138 0.5778 0.1625
O 0.8640 0.2862 0.1625
O 0.4222 0.1360 0.1625
F 0.3333 0.6667 0.3151
F 0.6667 0.3333 0.6849
```



# 8
Tl2TcO2F4: relaxed, GGA-PBE. Values from VASP.

ρ = 6.45 g/cm³
raw total energy = -5.331 eV/atom

The structure in Quantum ESPRESSO input format:
```
&SYSTEM
  ibrav = 0, nat = 9, ntyp = 4
/
ATOMIC_SPECIES
Tl 204.38 Tl.upf
Tc 98.00 Tc.upf
O 16.00 O.upf
F 19.00 F.upf
CELL_PARAMETERS angstrom
4.9835 -0.3051 -0.2076
0.7490 5.9571 0.3393
0.7490 2.5029 5.4164
ATOMIC_POSITIONS crystal
Tl 0.1838 0.6696 0.6696
Tl 0.8162 0.3304 0.3304
Tc 0.5000 0.0000 0.0000
O 0.2611 0.1361 0.1361
O 0.7389 0.8639 0.8639
F 0.2987 0.6832 0.1486
F 0.7013 0.8514 0.3168
F 0.7013 0.3168 0.8514
F 0.2987 0.1486 0.6832
```



# 9
TlTcOF2: relaxed, GGA-PBE. Values from VASP.

ρ = 6.67 g/cm³
N(E_F) = 0.39 states/eV/atom
raw total energy = -4.561 eV/atom
excess energy over the best structure of this formula in the dataset = 1100.3 meV/atom

The structure in Quantum ESPRESSO input format:
```
&SYSTEM
  ibrav = 0, nat = 5, ntyp = 4
/
ATOMIC_SPECIES
Tl 204.38 Tl.upf
Tc 98.00 Tc.upf
O 16.00 O.upf
F 19.00 F.upf
CELL_PARAMETERS angstrom
-2.3210 -3.4391 -1.9605
3.8322 -1.3821 -2.1124
0.9107 -2.4823 3.2763
ATOMIC_POSITIONS crystal
Tl 0.0000 0.0000 0.0000
Tc 0.5000 0.5000 0.5000
O 0.0000 0.0000 0.5000
F 0.0000 0.5000 0.0000
F 0.5000 0.0000 0.0000
```



# 10
TlTcO2F: relaxed, GGA-PBE. Values from VASP.

ρ = 8.24 g/cm³
N(E_F) = 0.18 states/eV/atom
raw total energy = -6.188 eV/atom

The structure in Quantum ESPRESSO input format:
```
&SYSTEM
  ibrav = 0, nat = 5, ntyp = 4
/
ATOMIC_SPECIES
Tl 204.38 Tl.upf
Tc 98.00 Tc.upf
O 16.00 O.upf
F 19.00 F.upf
CELL_PARAMETERS angstrom
-1.6731 0.4682 -3.4699
-2.7718 -2.5269 0.9956
-2.6086 3.5455 1.7362
ATOMIC_POSITIONS crystal
Tl 0.5000 0.5000 0.5000
Tc 0.0000 0.0000 0.0000
O 0.0000 0.5000 0.0000
O 0.5000 0.0000 0.0000
F 0.0000 0.0000 0.5000
```



# 11
Tl2TcOF5: relaxed, GGA-PBE. Values from VASP.

ρ = 5.90 g/cm³
N(E_F) = 0.23 states/eV/atom
raw total energy = -5.142 eV/atom

The structure in Quantum ESPRESSO input format:
```
&SYSTEM
  ibrav = 0, nat = 9, ntyp = 4
/
ATOMIC_SPECIES
Tl 204.38 Tl.upf
Tc 98.00 Tc.upf
O 16.00 O.upf
F 19.00 F.upf
CELL_PARAMETERS angstrom
-5.6693 -0.0171 -2.4564
4.7116 -1.0494 -3.8568
1.3660 -4.6022 3.8896
ATOMIC_POSITIONS crystal
Tl 0.5000 0.2215 0.7215
Tl 0.5000 0.7215 0.2215
Tc 0.0000 0.9872 0.9872
O 0.0000 0.7839 0.7839
F 0.4358 0.2334 0.2334
F 0.5642 0.7975 0.7975
F 0.0000 0.7975 0.2334
F 0.0000 0.2334 0.7975
F 0.0000 0.2242 0.2242
```



# 12
Tl5TcO4F2: relaxed, GGA-PBE. Values from VASP.

ρ = 7.43 g/cm³
N(E_F) = 0.12 states/eV/atom
raw total energy = -5.007 eV/atom

The structure in Quantum ESPRESSO input format:
```
&SYSTEM
  ibrav = 0, nat = 12, ntyp = 4
/
ATOMIC_SPECIES
Tl 204.38 Tl.upf
Tc 98.00 Tc.upf
O 16.00 O.upf
F 19.00 F.upf
CELL_PARAMETERS angstrom
6.7717 0.0000 0.0000
-3.3858 5.1009 0.0000
0.0000 0.0000 7.9035
ATOMIC_POSITIONS crystal
Tl 0.0628 0.3516 0.2419
Tl 0.4151 0.0000 0.5000
Tl 0.0628 0.3516 0.7581
Tl 0.7112 0.6484 0.7581
Tl 0.7112 0.6484 0.2419
Tc 0.4209 0.0000 0.0000
O 0.5854 0.0000 0.1862
O 0.5854 0.0000 0.8138
O 0.4272 0.3039 0.0000
O 0.1234 0.6961 0.0000
F 0.8542 0.4080 0.5000
F 0.4462 0.5920 0.5000
```